The following is a PBE calculation of a geometry-optimized Ca2ZnBr structure, from Alexandria.

The space group is R3m (No. 160, hexagonal axes) and the conventional cell measures 4.0438, 4.0438 and 24.8474 Å, with angles of 90.00, 90.00 and 120.00 degrees. The asymmetric unit holds Ca at (0.0000, 0.0000, 0.0000), Ca at (0.0000, 0.0000, 0.1806), Zn at (0.0000, 0.0000, 0.5900) and Br at (0.0000, 0.0000, 0.7597).

As for the energy above the lowest structure with this stoichiometry: 24 meV per atom. The value obtained for the magnetic moment is 0.101 μB/atom. The value obtained for the raw total energy is -2.49 eV per atom. As for the uncorrected formation energy: -3.01 eV/f.u.